1.
Here is crystalline CrCuAg at its relaxed geometry from the Alexandria database. Energies are from PBE-GGA.

Cell lengths 6.3007, 6.3007, 6.3007 Å; angles 155.91, 155.91, 34.34 degrees
Site moments in Bohr magnetons follow the coordinates.
Positions (direct):
1 Ag 0.0014 0.0014 0.0000  0.01
2 Cr 0.3229 0.3229 0.0000  0.34
3 Cu 0.6757 0.6757 0.0000  0.01

- Space group: I4mm (107)
- E_form: 0.4722 eV per atom
- DFT total energy: -15.2 eV per formula unit
- N(E_F): 3.0 states/eV/cell

***

2.
Here is crystalline ThGaSn at its relaxed geometry from the Alexandria database. Energies are from PBE-GGA.

Cell lengths 4.2164, 4.5961, 4.5961 Å; angles 120.00, 90.00, 90.00 degrees
Positions (direct):
1 Ga 0.4225 0.6667 0.3333
2 Sn 0.5586 0.3333 0.6667
3 Th 0.0189 0.0000 0.0000

- Space group: P3m1 (156)
- E_form: -0.4013 eV per atom
- DFT total energy: -15.7 eV per formula unit
- N(E_F): 2.7 states/eV/cell

***

3.
Here is crystalline YNiGe3 at its relaxed geometry from the Alexandria database. Energies are from PBE-GGA.

Cell lengths 5.3231, 5.3231, 5.3231 Å; angles 90.00, 90.00, 90.00 degrees
Positions (direct):
1 Y 0.0000 0.0000 0.0000
2 Ni 0.5000 0.5000 0.5000
3 Ge 0.0000 0.5000 0.0000
4 Ge 0.0000 0.0000 0.5000
5 Ge 0.5000 0.0000 0.0000

- Space group: Pm-3m (221)
- E_form: 1.2461 eV per atom
- DFT total energy: -19.9 eV per formula unit
- N(E_F): 6.1 states/eV/cell

***

4.
Here is crystalline ThCd5Au2 at its relaxed geometry from the Alexandria database. Energies are from PBE-GGA.

Cell lengths 4.1982, 7.0257, 7.0257 Å; angles 75.44, 72.62, 72.62 degrees
Positions (direct):
1 Th 0.0000 0.0000 0.0000
2 Cd 0.0000 0.5000 0.5000
3 Cd 0.6479 0.5378 0.1664
4 Cd 0.3521 0.4622 0.8336
5 Cd 0.3521 0.8336 0.4622
6 Cd 0.6479 0.1664 0.5378
7 Au 0.7140 0.7860 0.7860
8 Au 0.2860 0.2140 0.2140

- Space group: Immm (71)
- E_form: -0.2609 eV per atom
- DFT total energy: -20.6 eV per formula unit
- N(E_F): 3.5 states/eV/cell

***

5.
Here is crystalline Th8As4P3S at its relaxed geometry from the Alexandria database. Energies are from PBE-GGA.

Cell lengths 8.3661, 8.3785, 8.3661 Å; angles 119.95, 120.00, 90.00 degrees
Positions (direct):
1 Th 0.2467 0.7376 0.9910
2 Th 0.2467 0.7376 0.4933
3 Th 0.2544 0.2632 0.5088
4 Th 0.7443 0.7376 0.9910
5 Th 0.2557 0.2624 0.0090
6 Th 0.7456 0.7368 0.4912
7 Th 0.7533 0.2624 0.5067
8 Th 0.7533 0.2624 0.0090
9 As 0.5000 0.0000 0.0000
10 As 0.5000 0.0000 0.5000
11 As 0.0000 0.0000 0.0000
12 As 0.0000 0.0000 0.5000
13 P 0.5000 0.5000 0.0000
14 P 0.5000 0.5000 0.5000
15 P 0.0000 0.5000 0.5000
16 S 0.0000 0.5000 0.0000

- Space group: R-3m (166)
- DFT total energy: -122.6 eV per formula unit
- Formation energy from raw total energies: -1.52 eV/atom
- N(E_F): 10.1 states/eV/cell

***

6.
Here is crystalline Ac3InRh at its relaxed geometry from the Alexandria database. Energies are from PBE-GGA.

Cell lengths 7.3337, 10.6419, 10.2045 Å; angles 114.39, 90.00, 90.00 degrees
Positions (direct):
1 Ac 0.0686 0.6351 0.9059
2 Ac 0.9314 0.3649 0.0941
3 Ac 0.5686 0.8649 0.0941
4 Ac 0.4314 0.1351 0.9059
5 Ac 0.5824 0.4446 0.7956
6 Ac 0.4176 0.5554 0.2044
7 Ac 0.0824 0.0554 0.2044
8 Ac 0.9176 0.9446 0.7956
9 Ac 0.0942 0.2298 0.6251
10 Ac 0.9058 0.7702 0.3749
11 Ac 0.5942 0.2702 0.3749
12 Ac 0.4058 0.7298 0.6251
13 In 0.8338 0.5748 0.5733
14 In 0.1662 0.4252 0.4267
15 In 0.3338 0.9252 0.4267
16 In 0.6662 0.0748 0.5733
17 Rh 0.2455 0.3869 0.9186
18 Rh 0.7545 0.6131 0.0814
19 Rh 0.7455 0.1131 0.0814
20 Rh 0.2545 0.8869 0.9186

- Space group: P2_1/c (14)
- E_form: -0.4738 eV per atom
- DFT total energy: -24.8 eV per formula unit
- N(E_F): 15.4 states/eV/cell

***

7.
Here is crystalline Ho4Zn3Ni at its relaxed geometry from the Alexandria database. Energies are from PBE-GGA.

Cell lengths 3.4974, 3.4974, 14.0335 Å; angles 90.00, 90.00, 90.00 degrees
Positions (direct):
1 Ni 0.5000 0.5000 0.0000
2 Zn 0.5000 0.5000 0.2454
3 Zn 0.5000 0.5000 0.5000
4 Zn 0.5000 0.5000 0.7546
5 Ho 0.0000 0.0000 0.8853
6 Ho 0.0000 0.0000 0.1147
7 Ho 0.0000 0.0000 0.3719
8 Ho 0.0000 0.0000 0.6281

- Space group: P4/mmm (123)
- E_form: -0.3685 eV per atom
- DFT total energy: -30.9 eV per formula unit
- N(E_F): 5.8 states/eV/cell

***

no.,ρ (g/cm3)
1,8.91
2,9.05
3,4.02
4,10.62
5,9.13
6,8.23
7,8.85